DFT (PBE-GGA) results for crystalline BaTeOsN2 at its relaxed geometry.

## Properties
total magnetization: 5.9 μB/f.u.
volume: 141.8 Å³ per cell
energy relative to the elements, uncorrected: 12.35 eV/f.u.

Cell: 4.4574 4.4574 7.1362 Å, 90.00 90.00 90.00°
With the nearest neighbours (Å) after each atom.
Space group P4/mmm (No. 123)
Unique sites:
1 Ba 0.0000 0.0000 0.0000 [1 per cell]  4 N 2.23
2 Te 0.0000 0.0000 0.5000 [1 per cell]  4 Os 3.15
3 Os 0.5000 0.5000 0.5000 [1 per cell]  4 Te 3.15
4 N 0.0000 0.5000 0.0000 [2 per cell]  2 Ba 2.23